DFT (PBE) results for a relaxed KHf3Pt crystal.

The structure belongs to space group Pm-3m (No. 221); the cell edges are 5.2068, 5.2068 and 5.2068 Å and the angles 90.00°, 90.00° and 90.00°. The inequivalent atoms are K at (0.0000, 0.0000, 0.0000), Hf at (0.0000, 0.5000, 0.5000) and Pt at (0.5000, 0.5000, 0.5000).

As for the energy of formation from the pure elements: 44 kJ/mol of atoms. For the energy, the calculation gives -6.941 eV/atom. As for the density of states at the Fermi level: 1.229 states/eV per atom. Its offset from the most stable computed form is 0 kJ/mol of formula units.